(1)
DFT (PBE-GGA) results for a relaxed CuSnHgO4 crystal.

a = 5.9618 Å, b = 6.6612 Å, c = 6.3883 Å
α = 118.65°, β = 90.00°, γ = 116.58°
Site moments in Bohr magnetons follow the coordinates.
Atoms (fractional coordinates):
Cu (0.5000, 0.5000, 0.5000)  0.59
Cu (0.0000, 0.5000, 0.5000)  0.59
Sn (0.5000, 0.0000, 0.5000)  0.00
Sn (0.5000, 0.0000, 0.0000)  0.00
Hg (0.8354, 0.6708, 0.0854)  0.01
Hg (0.1646, 0.3292, 0.9146)  0.01
O (0.7112, 0.4223, 0.6639)  0.17
O (0.2653, 0.9871, 0.2435)  0.01
O (0.7218, 0.9871, 0.2435)  0.01
O (0.7112, 0.4223, 0.2584)  0.17
O (0.2888, 0.5777, 0.7416)  0.17
O (0.7347, 0.0129, 0.7565)  0.01
O (0.2782, 0.0129, 0.7565)  0.01
O (0.2888, 0.5777, 0.3361)  0.17

Output
Fermi-level density of states ... 0.043 states/eV per atom
Theoretical density ... 7749 kg/m³
Total DFT energy (no corrections) ... -69.1 eV per cell
Formation energy without anion corrections ... -608 kJ/mol of formula units


(2)
DFT (PBE-GGA) results for a relaxed PrDyMgSn crystal.

a = 5.3916 Å, b = 5.3916 Å, c = 5.3916 Å
α = 60.00°, β = 60.00°, γ = 60.00°
Atoms (fractional coordinates):
Pr (0.0000, 0.0000, 0.0000)
Mg (0.7500, 0.7500, 0.7500)
Sn (0.2500, 0.2500, 0.2500)
Dy (0.5000, 0.5000, 0.5000)

Output
Fermi-level density of states ... 0.887 states/eV per atom
Theoretical density ... 6689 kg/m³
Total DFT energy (no corrections) ... -16.6 eV per cell


(3)
DFT (PBE-GGA) results for a relaxed ZnTeHS2 crystal.

a = 4.8978 Å, b = 3.4015 Å, c = 4.8978 Å
α = 90.00°, β = 90.00°, γ = 90.00°
Atoms (fractional coordinates):
H (0.0000, 0.0000, 0.0000)
Zn (0.0000, 0.5000, 0.0000)
Te (0.5000, 0.5000, 0.5000)
S (0.0000, 0.0000, 0.5000)
S (0.5000, 0.0000, 0.0000)

Output
Fermi-level density of states ... 0.417 states/eV per atom
Theoretical density ... 5253 kg/m³
Total DFT energy (no corrections) ... -13.3 eV per cell